1.
Computed, not measured: Ca2Ga4Pd3 after structural relaxation at the PBE level of DFT.

```
data_Ca2Ga4Pd3
_space_group_name_H-M_alt 'P 1'
_space_group_IT_number 1
_space_group_name_Hall 'P 1'
_cell_length_a 8.155
_cell_length_b 8.155
_cell_length_c 7.814
_cell_angle_alpha 90.00
_cell_angle_beta 90.00
_cell_angle_gamma 139.18
loop_
_atom_site_label
_atom_site_type_symbol
_atom_site_fract_x
_atom_site_fract_y
_atom_site_fract_z
Ca1 Ca 0.108 0.892 0.901
Ca2 Ca 0.392 0.608 0.401
Ca3 Ca 0.608 0.392 0.599
Ca4 Ca 0.892 0.108 0.099
Ga1 Ga 0.183 0.817 0.515
Ga2 Ga 0.187 0.313 0.750
Ga3 Ga 0.313 0.187 0.250
Ga4 Ga 0.317 0.683 0.015
Ga5 Ga 0.683 0.317 0.985
Ga6 Ga 0.687 0.813 0.750
Ga7 Ga 0.813 0.687 0.250
Ga8 Ga 0.817 0.183 0.485
Pd1 Pd 0.000 0.000 0.500
Pd2 Pd 0.018 0.482 0.750
Pd3 Pd 0.482 0.018 0.250
Pd4 Pd 0.500 0.500 0.000
Pd5 Pd 0.518 0.982 0.750
Pd6 Pd 0.982 0.518 0.250
```

Results
Space group: Cmce (64)
Total magnetization (μB/f.u.): 0.0
Density (g/cm³): 6.63
DFT formation energy (eV per atom): -0.67


2.
Computed, not measured: Ca4Ga3Pd after structural relaxation at the PBE level of DFT.

```
data_Ca4Ga3Pd
_space_group_name_H-M_alt 'P 1'
_space_group_IT_number 1
_space_group_name_Hall 'P 1'
_cell_length_a 4.198
_cell_length_b 4.382
_cell_length_c 11.251
_cell_angle_alpha 90.00
_cell_angle_beta 90.00
_cell_angle_gamma 90.00
loop_
_atom_site_label
_atom_site_type_symbol
_atom_site_fract_x
_atom_site_fract_y
_atom_site_fract_z
Ca1 Ca 0.000 0.000 0.000
Ca2 Ca 0.000 0.500 0.283
Ca3 Ca 0.500 0.000 0.491
Ca4 Ca 0.500 0.500 0.785
Ga1 Ga 0.000 0.000 0.708
Ga2 Ga 0.000 0.500 0.571
Ga3 Ga 0.500 0.500 0.079
Pd1 Pd 0.500 0.000 0.200
```

Results
Space group: Pmm2 (25)
Total magnetization (μB/f.u.): 0.0
Density (g/cm³): 3.82
DFT formation energy (eV per atom): -0.54


3.
Computed, not measured: Ca3Ga7Pd4 after structural relaxation at the PBE level of DFT.

```
data_Ca3Ga7Pd4
_space_group_name_H-M_alt 'P 1'
_space_group_IT_number 1
_space_group_name_Hall 'P 1'
_cell_length_a 8.162
_cell_length_b 8.162
_cell_length_c 9.258
_cell_angle_alpha 122.10
_cell_angle_beta 122.10
_cell_angle_gamma 31.24
loop_
_atom_site_label
_atom_site_type_symbol
_atom_site_fract_x
_atom_site_fract_y
_atom_site_fract_z
Ca1 Ca 0.000 0.000 0.000
Ca2 Ca 0.303 0.303 0.301
Ca3 Ca 0.697 0.697 0.699
Ga1 Ga 0.000 0.000 0.500
Ga2 Ga 0.148 0.148 0.425
Ga3 Ga 0.321 0.321 0.971
Ga4 Ga 0.498 0.498 0.292
Ga5 Ga 0.502 0.502 0.708
Ga6 Ga 0.679 0.679 0.029
Ga7 Ga 0.852 0.852 0.575
Pd1 Pd 0.121 0.121 0.843
Pd2 Pd 0.340 0.340 0.708
Pd3 Pd 0.660 0.660 0.292
Pd4 Pd 0.879 0.879 0.157
```

Results
Space group: C2/m (12)
Total magnetization (μB/f.u.): 0.0
Density (g/cm³): 6.44
DFT formation energy (eV per atom): -0.66


4.
Computed, not measured: CaGaPd4 after structural relaxation at the PBE level of DFT.

```
data_CaGaPd4
_space_group_name_H-M_alt 'P 1'
_space_group_IT_number 1
_space_group_name_Hall 'P 1'
_cell_length_a 5.351
_cell_length_b 5.351
_cell_length_c 5.351
_cell_angle_alpha 60.00
_cell_angle_beta 60.00
_cell_angle_gamma 60.00
loop_
_atom_site_label
_atom_site_type_symbol
_atom_site_fract_x
_atom_site_fract_y
_atom_site_fract_z
Ca1 Ca 0.000 0.000 0.000
Ga1 Ga 0.250 0.250 0.250
Pd1 Pd 0.127 0.624 0.624
Pd2 Pd 0.624 0.127 0.624
Pd3 Pd 0.624 0.624 0.127
Pd4 Pd 0.624 0.624 0.624
```

Results
Space group: F-43m (216)
Total magnetization (μB/f.u.): 0.0
Density (g/cm³): 8.21
DFT formation energy (eV per atom): -0.46